# CuAs2S

CuAs2S after structural relaxation (PBE, the Alexandria database).

a = 5.049 Å, b = 7.110 Å, c = 5.608 Å
α = 90.00°, β = 90.04°, γ = 90.00°
Space group Pm (No. 6)
Unique sites:
Cu 0.000 0.000 0.000 [1 per cell]
Cu 0.002 0.000 0.500 [1 per cell]
As 0.112 0.267 0.249 [2 per cell]
As 0.892 0.267 0.749 [2 per cell]
S 0.208 0.500 0.748 [1 per cell]
S 0.796 0.500 0.248 [1 per cell]

E_form (uncorrected)	0.85	eV per formula unit
energy	-0.3064	Ry per atom
Fermi-level density of states	0.6	states/eV/f.u.